A relaxed TbFeB2 crystal. Source: Alexandria via LeMat-Bulk, functional PBE-GGA.

Values from the calculation:
The calculation puts the calculated formation energy at -0.3784 eV per atom. As for the total moment: 6.259 Bohr magnetons per cell. As for the energy relative to the lowest polymorph listed for this composition: 0 meV per atom. For the density, the calculation gives 8.1 g cm⁻³.

Cell lengths 3.2039, 6.6217, 9.1537 Å; angles 90.00, 90.00, 90.00 degrees
Last column: nearest neighbours and their distance in Å.
Positions (direct):
Tb  0.7500  0.6315  0.3614  9 B 2.64-2.76
Tb  0.7500  0.1315  0.1386  9 B 2.64-2.76
Tb  0.2500  0.3685  0.6386  9 B 2.64-2.76
Tb  0.2500  0.8685  0.8614  9 B 2.64-2.76
Fe  0.2500  0.0043  0.4026  4 B 2.07-2.22
Fe  0.7500  0.9957  0.5974  4 B 2.07-2.22
Fe  0.2500  0.5043  0.0974  4 B 2.07-2.22
Fe  0.7500  0.4957  0.9026  4 B 2.07-2.22
B  0.7500  0.7243  0.0806  2 B 1.84
B  0.2500  0.2757  0.9194  2 B 1.84
B  0.7500  0.2243  0.4194  2 B 1.84
B  0.2500  0.7757  0.5806  2 B 1.84
B  0.7500  0.1953  0.8404  2 B 1.84
B  0.2500  0.3047  0.3404  2 B 1.84
B  0.7500  0.6953  0.6596  2 B 1.84
B  0.2500  0.8047  0.1596  2 B 1.84